(1)
Material: K2BeCo
Method: DFT, GGA-PBE
State: optimized geometry

Summary:
Energy relative to the elements ... 5.032 eV per formula unit
SG ... C2/m
Fermi-level density of states ... 4.51 states/eV/f.u.

Cell lengths 7.1496, 5.2108, 4.4637 Å; angles 89.79, 51.76, 114.89 degrees
Closest atoms and distances in Å follow each position.
Atoms (fractional coordinates):
K 0.0000 0.0000 0.0000  2 K 2.81
K 0.5000 0.0000 0.5000  2 K 2.81
Co 0.5000 0.5000 0.0000  2 Be 2.81
Be 0.0000 0.5000 0.5000  2 Co 2.81

***

(2)
Material: Ca3SbP
Method: DFT, GGA-PBE
State: optimized geometry

Summary:
E_form (uncorrected) ... -6.15 kcal/mol of atoms
SG ... I-4m2
Relative energy among the computed polymorphs ... 79.8 kJ/mol of atoms
Fermi-level density of states ... 2.45 states/eV/f.u.

Cell lengths 6.1820, 6.1820, 11.4736 Å; angles 74.37, 74.37, 90.00 degrees
Closest atoms and distances in Å follow each position.
Atoms (fractional coordinates):
Ca 0.1206 0.8767 0.7588  2 Sb 2.97-3.17, 2 Ca 3.02-3.17
Ca 0.2775 0.2775 0.4450  2 P 3.14, 2 Sb 3.15
Ca 0.7225 0.7225 0.5550  2 P 3.14, 2 Sb 3.15
Ca 0.1206 0.3645 0.7588  2 Sb 2.97-3.17, 2 Ca 3.02-3.17
Ca 0.6355 0.8794 0.2412  2 Sb 2.97-3.17, 2 Ca 3.02-3.17
Ca 0.1233 0.8794 0.2412  2 Sb 2.97-3.17, 2 Ca 3.02-3.17
Sb 0.2500 0.7500 0.5000  8 Ca 3.15-3.17
Sb 0.0000 0.0000 0.0000  4 Ca 2.97
P 0.8031 0.3031 0.3937  1 P 2.25
P 0.6969 0.1969 0.6063  1 P 2.25

***

(3)
Material: Ba2GaNiSe
Method: DFT, GGA-PBE
State: optimized geometry

Summary:
E_form (uncorrected) ... -16.61 kcal/mol of atoms
SG ... P4/mmm
Fermi-level density of states ... 2.87 states/eV/f.u.

Cell lengths 5.8694, 5.8694, 4.5394 Å; angles 90.00, 90.00, 90.00 degrees
Closest atoms and distances in Å follow each position.
Atoms (fractional coordinates):
Ga 0.0000 0.0000 0.5000  2 Ni 2.27
Ni 0.0000 0.0000 0.0000  2 Ga 2.27
Se 0.5000 0.5000 0.5000  8 Ba 3.71, 4 Ga 4.15
Ba 0.0000 0.5000 0.0000  2 Ni 2.93
Ba 0.5000 0.0000 0.0000  2 Ni 2.93

***

(4)
Material: Mg2Sc2Hg
Method: DFT, GGA-PBE
State: optimized geometry

Summary:
Energy relative to the elements ... -0.139 eV per formula unit
SG ... P4/mbm
Relative energy among the computed polymorphs ... 7.9 kJ/mol of atoms
Fermi-level density of states ... 5.69 states/eV/f.u.

Cell lengths 7.2923, 7.2923, 4.3307 Å; angles 90.00, 90.00, 90.00 degrees
Closest atoms and distances in Å follow each position.
Atoms (fractional coordinates):
Hg 0.5000 0.5000 0.0000  4 Mg 2.83
Hg 0.0000 0.0000 0.0000  4 Mg 2.83
Sc 0.3373 0.1627 0.5000  6 Mg 2.99-3.09
Sc 0.8373 0.3373 0.5000  6 Mg 2.99-3.09
Sc 0.1627 0.6627 0.5000  6 Mg 2.99-3.09
Sc 0.6627 0.8373 0.5000  6 Mg 2.99-3.09
Mg 0.1378 0.3622 0.0000  2 Hg 2.83, 1 Mg 2.84, 6 Sc 2.99-3.09
Mg 0.3622 0.8622 0.0000  2 Hg 2.83, 1 Mg 2.84, 6 Sc 2.99-3.09
Mg 0.8622 0.6378 0.0000  2 Hg 2.83, 1 Mg 2.84, 6 Sc 2.99-3.09
Mg 0.6378 0.1378 0.0000  2 Hg 2.83, 1 Mg 2.84, 6 Sc 2.99-3.09